The following is a DFT calculation (PBE) of InSeN2 after structural relaxation.

a b c (Å): 3.994 3.997 8.189
angles (deg): 79.69 84.52 89.99
Space group P1 (No. 1)
Inequivalent atoms, fractional coordinates:
In 0.000 0.000 0.000 [1 per cell]
Se 0.500 0.500 0.000 [1 per cell]
N 0.053 0.069 0.556 [1 per cell]
N 0.992 0.963 0.445 [1 per cell]

DOS(E_F) in states/eV/cell: 0.40
Formation energy without anion corrections in eV per atom: -0.123
Magnetization in μB per formula unit: 0.00
Energy above the most stable polymorph in this dataset in meV/atom: 0.0